No. 1
Entry from the Alexandria database: Na3Hf3TiTe8 after structural relaxation (PBE).

Unit cell a=8.0626 b=8.0626 c=9.1673 alpha=116.07 beta=116.07 gamma=60.03
Atoms (fractional coordinates):
Na: 0.0000 0.0000 0.0000
Na: 0.0000 0.5000 0.0000
Na: 0.5000 0.0000 0.0000
Hf: 0.0000 0.5000 0.5000
Hf: 0.5000 0.0000 0.5000
Hf: 0.5000 0.5000 0.5000
Ti: 0.0000 0.0000 0.5000
Te: 0.2371 0.2371 0.7170
Te: 0.2373 0.7422 0.7171
Te: 0.2578 0.7627 0.2829
Te: 0.2598 0.2598 0.2784
Te: 0.7402 0.7402 0.7216
Te: 0.7422 0.2373 0.7171
Te: 0.7627 0.2578 0.2829
Te: 0.7629 0.7629 0.2830

uncorrected formation energy: -0.83 eV/atom
spin magnetization: 1.290 μB per formula unit

=====

No. 2
Entry from the Alexandria database: GaHg3O after structural relaxation (PBE).

Unit cell a=4.8968 b=4.8968 c=4.8968 alpha=90.00 beta=90.00 gamma=90.00
Atoms (fractional coordinates):
Ga: 0.0000 0.0000 0.0000
Hg: 0.0000 0.5000 0.5000
Hg: 0.5000 0.0000 0.5000
Hg: 0.5000 0.5000 0.0000
O: 0.5000 0.5000 0.5000

distance to the lowest polymorph of the same formula: 0 meV per atom
uncorrected formation energy: 0.29 eV/atom
spin magnetization: 0.000 μB per formula unit

=====

No. 3
Entry from the Alexandria database: Pu3Te2N2 after structural relaxation (PBE).

Unit cell a=6.4643 b=6.4643 c=7.6485 alpha=121.29 beta=121.29 gamma=35.62
Atoms (fractional coordinates):
Pu: 0.0000 0.0000 0.0000
Pu: 0.1931 0.1931 0.7723
Pu: 0.8069 0.8069 0.2277
Te: 0.4246 0.4246 0.6460
Te: 0.5754 0.5754 0.3540
N: 0.1989 0.1989 0.0733
N: 0.8011 0.8011 0.9267

distance to the lowest polymorph of the same formula: 0 meV per atom
uncorrected formation energy: -1.25 eV/atom
spin magnetization: 14.000 μB per formula unit

=====

No. 4
Entry from the Alexandria database: BaBiB2Te after structural relaxation (PBE).

Unit cell a=4.9179 b=4.9179 c=6.0432 alpha=90.00 beta=90.00 gamma=90.00
Atoms (fractional coordinates):
Ba: 0.0000 0.0000 0.0000
Bi: 0.5000 0.5000 0.0000
B: 0.0000 0.5000 0.5000
B: 0.5000 0.0000 0.5000
Te: 0.5000 0.5000 0.5000

uncorrected formation energy: 1.18 eV/atom
spin magnetization: 0.000 μB per formula unit

=====

No. 5
Entry from the Alexandria database: NaSm2Au after structural relaxation (PBE).

Unit cell a=11.3148 b=11.3148 c=11.3148 alpha=19.82 beta=19.82 gamma=19.82
Atoms (fractional coordinates):
Na: 0.0000 0.0000 0.0000
Sm: 0.1094 0.1094 0.1094
Sm: 0.8906 0.8906 0.8906
Au: 0.5000 0.5000 0.5000

distance to the lowest polymorph of the same formula: 162 meV per atom
formation enthalpy at 0 K: -91 meV per atom
spin magnetization: 0.000 μB per formula unit

=====

No. 6
Entry from the Alexandria database: CaSiF after structural relaxation (PBE).

Unit cell a=3.7666 b=3.7666 c=10.0239 alpha=90.89 beta=90.89 gamma=59.96
Atoms (fractional coordinates):
Ca: 0.0072 0.0072 0.2609
Ca: 0.9928 0.9928 0.7391
Si: 0.3321 0.3321 0.9529
Si: 0.6679 0.6679 0.0471
F: 0.3425 0.3425 0.3476
F: 0.6575 0.6575 0.6524

uncorrected formation energy: -2.04 eV/atom
spin magnetization: 0.000 μB per formula unit

=====

No. 7
Entry from the Alexandria database: ZrTcNO2 after structural relaxation (PBE).

Unit cell a=4.0699 b=4.0699 c=4.3807 alpha=90.00 beta=90.00 gamma=90.00
Atoms (fractional coordinates):
Zr: 0.0000 0.0000 0.0000
Tc: 0.5000 0.5000 0.5000
N: 0.0000 0.0000 0.5000
O: 0.0000 0.5000 0.0000
O: 0.5000 0.0000 0.0000

uncorrected formation energy: -0.57 eV/atom
spin magnetization: 3.999 μB per formula unit

=====

No. 8
Entry from the Alexandria database: TlPt3Pb2 after structural relaxation (PBE).

Unit cell a=7.5361 b=7.5361 c=5.5558 alpha=90.00 beta=90.00 gamma=59.94
Atoms (fractional coordinates):
Tl: 0.1630 0.8370 0.7500
Tl: 0.8370 0.1630 0.2500
Pt: 0.1685 0.1685 0.0000
Pt: 0.1685 0.1685 0.5000
Pt: 0.5000 0.5000 0.0000
Pt: 0.5000 0.5000 0.5000
Pt: 0.8315 0.8315 0.0000
Pt: 0.8315 0.8315 0.5000
Pb: 0.1669 0.5023 0.2500
Pb: 0.4977 0.8331 0.2500
Pb: 0.5023 0.1669 0.7500
Pb: 0.8331 0.4977 0.7500

formation enthalpy at 0 K: -211 meV per atom
spin magnetization: 0.000 μB per formula unit

=====

No. 9
Entry from the Alexandria database: Sm2YHo2Mg5 after structural relaxation (PBE).

Unit cell a=10.6060 b=10.6060 c=5.0671 alpha=90.00 beta=90.00 gamma=90.00
Atoms (fractional coordinates):
Sm: 0.1774 0.3226 0.0000
Sm: 0.3226 0.8226 0.0000
Sm: 0.6774 0.1774 0.0000
Sm: 0.8226 0.6774 0.0000
Y: 0.0000 0.0000 0.0000
Y: 0.5000 0.5000 0.0000
Ho: 0.1195 0.6195 0.0000
Ho: 0.3805 0.1195 0.0000
Ho: 0.6195 0.8805 0.0000
Ho: 0.8805 0.3805 0.0000
Mg: 0.0000 0.5000 0.5000
Mg: 0.0694 0.8018 0.5000
Mg: 0.1982 0.0694 0.5000
Mg: 0.3018 0.5694 0.5000
Mg: 0.4306 0.3018 0.5000
Mg: 0.5000 0.0000 0.5000
Mg: 0.5694 0.6982 0.5000
Mg: 0.6982 0.4306 0.5000
Mg: 0.8018 0.9306 0.5000
Mg: 0.9306 0.1982 0.5000

formation enthalpy at 0 K: 38 meV per atom
spin magnetization: 0.000 μB per formula unit

=====

No. 10
Entry from the Alexandria database: Cs2BeHg4 after structural relaxation (PBE).

Unit cell a=10.2950 b=10.2950 c=10.2950 alpha=150.90 beta=150.90 gamma=41.62
Atoms (fractional coordinates):
Cs: 0.1571 0.1571 0.0000
Cs: 0.8429 0.8429 0.0000
Be: 0.5000 0.5000 0.0000
Hg: 0.0000 0.5000 0.5000
Hg: 0.3694 0.3694 0.0000
Hg: 0.5000 0.0000 0.5000
Hg: 0.6306 0.6306 0.0000

formation enthalpy at 0 K: -32 meV per atom
spin magnetization: 0.000 μB per formula unit

=====

No. 11
Entry from the Alexandria database: Sc2MnPb after structural relaxation (PBE).

Unit cell a=3.6930 b=3.6930 c=6.4101 alpha=90.00 beta=90.00 gamma=90.00
Atoms (fractional coordinates):
Sc: 0.0000 0.0000 0.0000
Sc: 0.5000 0.5000 0.2751
Mn: 0.0000 0.0000 0.4757
Pb: 0.5000 0.5000 0.7369

formation enthalpy at 0 K: 34 meV per atom
spin magnetization: 2.369 μB per formula unit

=====

No. 12
Entry from the Alexandria database: TcP2Se after structural relaxation (PBE).

Unit cell a=2.9227 b=2.9227 c=9.2098 alpha=90.00 beta=90.00 gamma=119.03
Atoms (fractional coordinates):
Tc: 0.0000 0.0000 0.0000
P: 0.0000 0.0000 0.5897
P: 0.5000 0.5000 0.7856
Se: 0.5000 0.5000 0.2210

uncorrected formation energy: 0.47 eV/atom
spin magnetization: 0.000 μB per formula unit

=====

No. 13
Entry from the Alexandria database: BiAu2SBr after structural relaxation (PBE).

Unit cell a=4.5961 b=4.5961 c=7.6807 alpha=90.00 beta=90.00 gamma=90.00
Atoms (fractional coordinates):
Bi: 0.0000 0.0000 0.0000
Au: 0.0000 0.5000 0.5000
Au: 0.5000 0.0000 0.5000
S: 0.5000 0.5000 0.5000
Br: 0.5000 0.5000 0.0000

uncorrected formation energy: 0.33 eV/atom
spin magnetization: 1.182 μB per formula unit

=====

No. 14
Entry from the Alexandria database: Bi2PbCl after structural relaxation (PBE).

Unit cell a=7.9106 b=7.9106 c=7.9106 alpha=123.09 beta=123.09 gamma=84.73
Atoms (fractional coordinates):
Bi: 0.1208 0.6250 0.9958
Bi: 0.3750 0.3708 0.4958
Bi: 0.6292 0.1250 0.0042
Bi: 0.8750 0.8792 0.5042
Pb: 0.2500 0.7500 0.5000
Pb: 0.5000 0.5000 0.0000
Cl: 0.0000 0.0000 0.0000
Cl: 0.7500 0.2500 0.5000

distance to the lowest polymorph of the same formula: 216 meV per atom
uncorrected formation energy: 0.15 eV/atom
spin magnetization: 0.000 μB per formula unit

=====

No. 15
Entry from the Alexandria database: Tb2PmDySc after structural relaxation (PBE).

Unit cell a=6.9756 b=6.9756 c=7.0949 alpha=90.00 beta=90.00 gamma=107.90
Atoms (fractional coordinates):
Tb: 0.1978 0.1978 0.0000
Tb: 0.1978 0.1978 0.5000
Tb: 0.8022 0.8022 0.0000
Tb: 0.8022 0.8022 0.5000
Pm: 0.2298 0.7702 0.7500
Pm: 0.7702 0.2298 0.2500
Dy: 0.2352 0.7648 0.2500
Dy: 0.7648 0.2352 0.7500
Sc: 0.4944 0.5056 0.7500
Sc: 0.5056 0.4944 0.2500

formation enthalpy at 0 K: 339 meV per atom
spin magnetization: 0.000 μB per formula unit

=====

No. 16
Entry from the Alexandria database: MnTl2P after structural relaxation (PBE).

Unit cell a=5.3000 b=5.3000 c=3.2634 alpha=90.00 beta=90.00 gamma=105.56
Atoms (fractional coordinates):
Mn: 0.0000 0.0000 0.0000
Tl: 0.0000 0.5000 0.5000
Tl: 0.5000 0.0000 0.5000
P: 0.5000 0.5000 0.0000

distance to the lowest polymorph of the same formula: 513 meV per atom
formation enthalpy at 0 K: 568 meV per atom
spin magnetization: 4.028 μB per formula unit

=====

No. 17
Entry from the Alexandria database: BaZr2Rh after structural relaxation (PBE).

Unit cell a=4.3266 b=4.3266 c=7.7642 alpha=106.19 beta=106.19 gamma=60.04
Atoms (fractional coordinates):
Ba: 0.0000 0.0000 0.0000
Zr: 0.5491 0.5491 0.6492
Zr: 0.7923 0.7923 0.3791
Rh: 0.1731 0.1731 0.5214

distance to the lowest polymorph of the same formula: 53 meV per atom
formation enthalpy at 0 K: -42 meV per atom
spin magnetization: 0.000 μB per formula unit

=====

No. 18
Entry from the Alexandria database: Na2SmAuO4 after structural relaxation (PBE).

Unit cell a=5.3131 b=5.3131 c=5.3131 alpha=111.96 beta=111.96 gamma=104.60
Atoms (fractional coordinates):
Na: 0.0000 0.0000 0.0000
Na: 0.7500 0.2500 0.5000
Sm: 0.5000 0.5000 0.0000
Au: 0.2500 0.7500 0.5000
O: 0.0718 0.0448 0.5936
O: 0.4512 0.4781 0.4064
O: 0.5219 0.9282 0.9730
O: 0.9552 0.5488 0.0270

uncorrected formation energy: -1.66 eV/atom
spin magnetization: 0.000 μB per formula unit

=====

No. 19
Entry from the Alexandria database: NpTlO2 after structural relaxation (PBE).

Unit cell a=3.0154 b=3.0154 c=7.6620 alpha=90.00 beta=90.00 gamma=90.00
Atoms (fractional coordinates):
Np: 0.0000 0.0000 0.0000
Tl: 0.0000 0.0000 0.5000
O: 0.5000 0.5000 0.1580
O: 0.5000 0.5000 0.8420

uncorrected formation energy: -1.59 eV/atom
spin magnetization: 3.412 μB per formula unit

=====

No. 20
Entry from the Alexandria database: MgCdBi after structural relaxation (PBE).

Unit cell a=5.0752 b=5.0752 c=3.5669 alpha=90.00 beta=90.00 gamma=120.00
Atoms (fractional coordinates):
Mg: 0.0000 0.0000 0.0000
Cd: 0.6667 0.3333 0.7468
Bi: 0.3333 0.6667 0.3693

distance to the lowest polymorph of the same formula: 78 meV per atom
formation enthalpy at 0 K: 15 meV per atom
spin magnetization: 0.000 μB per formula unit